First-principles (GGA-PBE) data for a relaxed Cr2HBr crystal, as listed in the Alexandria database.

Properties
The calculation puts the energy above the most stable polymorph in this dataset at 0.00 kcal/mol of atoms. Its final energy is -5.4750 eV per atom. For the density, the calculation gives 6.13 g cm⁻³.

abc: 4.507 4.507 5.871
angles: 67.43 67.43 90.00
Fractional coordinates of all 8 atoms:
Cr 0.481 0.125 0.250
H 0.500 0.500 0.000
H 0.250 0.750 0.500
Cr 0.875 0.731 0.750
Br 0.000 0.000 0.000
Cr 0.375 0.519 0.750
Br 0.750 0.250 0.500
Cr 0.269 0.625 0.250